1.
The following is a DFT calculation (PBE) of AcCd3Pb after structural relaxation.

Properties
DFT total energy = -2.34 eV per atom
energy relative to the elements = -0.2254 eV per atom
symmetry = Pnna (52)

abc: 6.764 6.766 12.592
angles: 90.00 90.00 90.00
Fractional positions:
Cd 0.998 0.499 0.142
Cd 0.498 0.999 0.858
Cd 0.002 0.499 0.642
Cd 0.998 0.501 0.358
Cd 0.750 0.250 0.999
Cd 0.750 0.750 0.501
Cd 0.498 0.001 0.642
Cd 0.250 0.750 0.001
Cd 0.502 0.999 0.358
Cd 0.002 0.501 0.858
Cd 0.250 0.250 0.499
Cd 0.502 0.001 0.142
Ac 0.501 0.500 0.750
Ac 0.999 0.000 0.750
Ac 0.499 0.500 0.250
Ac 0.001 0.000 0.250
Pb 0.750 0.750 0.999
Pb 0.250 0.750 0.499
Pb 0.250 0.250 0.001
Pb 0.750 0.250 0.501

---

2.
The following is a DFT calculation (PBE) of Ac4CdPb3 after structural relaxation.

Properties
DFT total energy = -4.03 eV per atom
energy relative to the elements = -0.4700 eV per atom
symmetry = Pmm2 (25)

abc: 4.930 4.781 12.611
angles: 90.00 90.00 90.00
Each line ends with the local moment (μB).
Fractional positions:
Ac 0.500 0.000 0.637  0.00
Ac 0.000 0.500 0.866  0.01
Ac 0.500 0.500 0.359  0.04
Ac 0.000 0.000 0.137  0.07
Pb 0.500 0.000 0.918  0.00
Pb 0.000 0.500 0.591  0.00
Pb 0.000 0.000 0.412  0.00
Cd 0.500 0.500 0.079  0.01

---

Values of theoretical density, in order: 8.89 9.17, all in g/cm3.